[1]
Material: Li2AlAg
Method: DFT, PBEsol
State: relaxed

Results
calculated formation energy = -0.7 eV per formula unit

a = 3.038 Å, b = 4.421 Å, c = 9.175 Å
α = 90.00°, β = 90.00°, γ = 90.00°
Space group Immm (No. 71)
Asymmetric unit:
Li  0.000  0.000  0.243 x4
Al  0.000  0.500  0.000 x2
Ag  0.000  0.500  0.500 x2

=====

[2]
Material: GaCuSnSe4
Method: DFT, PBEsol
State: relaxed

Results
formation energy without anion corrections = -0.39 eV per atom

a = 5.518 Å, b = 5.518 Å, c = 11.131 Å
α = 90.00°, β = 90.00°, γ = 90.00°
Space group I-4 (No. 82)
Asymmetric unit:
Ga  0.000  0.000  0.000 x2
Cu  0.000  0.000  0.500 x2
Sn  0.000  0.500  0.750 x2
Se  0.218  0.277  0.374 x8

=====

[3]
Material: Ga2PRuS
Method: DFT, PBEsol
State: relaxed

Results
formation energy without anion corrections = 0.76 eV per atom

a = 4.658 Å, b = 4.658 Å, c = 4.278 Å
α = 90.00°, β = 90.00°, γ = 90.00°
Space group P4/mmm (No. 123)
Asymmetric unit:
Ga  0.000  0.500  0.000 x2
P  0.000  0.000  0.500 x1
Ru  0.500  0.500  0.500 x1
S  0.500  0.500  0.000 x1

=====

The records above yield Fermi-level density of states values of 2.66 0.20 4.28 states/eV per cell, respectively.